[1]
Compound: K2NaMoO3F3
Source: Alexandria via LeMat-Bulk
Functional: GGA-PBEsol
Structure: optimized geometry

Cell: 5.874 5.874 5.923 Å, 118.89 118.89 91.46°
Positions (direct):
K: 0.237 0.737 0.474
K: 0.737 0.237 0.474
Mo: 0.980 0.980 0.959
F: 0.236 0.236 0.472
F: 0.762 0.233 0.994
F: 0.233 0.762 0.994
O: 0.237 0.237 0.044
O: 0.776 0.776 0.552
O: 0.807 0.807 0.044
Na: 0.497 0.497 0.993

---

[2]
Compound: K2NiMoF
Source: Alexandria via LeMat-Bulk
Functional: GGA-PBEsol
Structure: optimized geometry

Cell: 4.068 6.486 6.486 Å, 90.00 90.00 90.00°
Each line ends with the local moment (μB).
Positions (direct):
Mo: 0.000 0.000 0.000  3.49
F: 0.500 0.000 0.000  0.09
Ni: 0.500 0.500 0.500  0.90
K: 0.000 0.000 0.500  0.01
K: 0.000 0.500 0.000  0.01

---

[3]
Compound: KRb2MoO3F3
Source: Alexandria via LeMat-Bulk
Functional: GGA-PBEsol
Structure: optimized geometry

Cell: 6.255 6.255 9.067 Å, 90.00 90.00 90.00°
Positions (direct):
F: 0.777 0.777 0.999
F: 0.723 0.277 0.499
F: 0.277 0.723 0.499
F: 0.223 0.223 0.999
F: 0.500 0.500 0.723
F: 0.000 0.000 0.223
K: 0.500 0.500 0.996
K: 0.000 0.000 0.496
Rb: 0.000 0.500 0.234
Rb: 0.000 0.500 0.734
Rb: 0.500 0.000 0.734
Rb: 0.500 0.000 0.234
O: 0.800 0.200 0.022
O: 0.200 0.800 0.022
O: 0.700 0.700 0.522
O: 0.500 0.500 0.289
O: 0.000 0.000 0.789
O: 0.300 0.300 0.522
Mo: 0.500 0.500 0.481
Mo: 0.000 0.000 0.981

---

[4]
Compound: KRb2MoO3F3
Source: Alexandria via LeMat-Bulk
Functional: GGA-PBEsol
Structure: optimized geometry

Cell: 6.241 6.241 6.291 Å, 118.74 118.74 91.75°
Positions (direct):
F: 0.219 0.775 0.994
F: 0.775 0.219 0.994
F: 0.223 0.223 0.446
K: 0.496 0.496 0.991
Rb: 0.733 0.233 0.467
Rb: 0.233 0.733 0.467
O: 0.227 0.227 0.049
O: 0.790 0.790 0.579
O: 0.822 0.822 0.049
Mo: 0.982 0.982 0.963

---

[5]
Compound: KRb2MoF6
Source: Alexandria via LeMat-Bulk
Functional: GGA-PBEsol
Structure: optimized geometry

Cell: 6.381 6.381 6.381 Å, 60.00 60.00 60.00°
Each line ends with the local moment (μB).
Positions (direct):
Rb: 0.250 0.250 0.250  0.00
Rb: 0.750 0.750 0.750  0.00
F: 0.226 0.226 0.774  0.04
F: 0.774 0.226 0.774  0.04
F: 0.774 0.226 0.226  0.04
F: 0.226 0.774 0.226  0.04
F: 0.774 0.774 0.226  0.04
F: 0.226 0.774 0.774  0.04
Mo: 0.000 0.000 0.000  2.58
K: 0.500 0.500 0.500  0.00

---

[6]
Compound: KTi2MoF
Source: Alexandria via LeMat-Bulk
Functional: GGA-PBEsol
Structure: optimized geometry

Cell: 4.466 4.466 4.258 Å, 90.00 90.00 90.00°
Positions (direct):
Mo: 0.000 0.000 0.500
K: 0.500 0.500 0.500
Ti: 0.000 0.500 0.000
Ti: 0.500 0.000 0.000
F: 0.000 0.000 0.000

---

[7]
Compound: K2NF
Source: Alexandria via LeMat-Bulk
Functional: GGA-PBEsol
Structure: optimized geometry

Cell: 4.665 4.665 4.665 Å, 60.00 60.00 60.00°
Each line ends with the local moment (μB).
Positions (direct):
F: 0.500 0.500 0.500  0.04
K: 0.250 0.250 0.250  0.02
K: 0.750 0.750 0.750  0.02
N: 0.000 0.000 0.000  1.21

---

[8]
Compound: KOsNF2
Source: Alexandria via LeMat-Bulk
Functional: GGA-PBEsol
Structure: optimized geometry

Cell: 4.434 4.434 4.739 Å, 90.00 90.00 90.00°
Each line ends with the local moment (μB).
Positions (direct):
K: 0.000 0.000 0.000  0.06
N: 0.000 0.000 0.500  1.33
F: 0.500 0.000 0.000  0.11
F: 0.000 0.500 0.000  0.11
Os: 0.500 0.500 0.500  3.54

---

One value per record, in order, for formation energy without anion corrections: -2.41 0.82 -2.41 -2.41 -2.61 0.65 -0.52 1.44 eV/atom.
One value per record, in order, for M_tot: 0.000 1.007 0.000 0.000 0.300 0.000 0.500 1.241 μB/atom.